# 1
Crystalline YZrP2 at its relaxed geometry. Source: the Alexandria database, functional PBE.

Cell lengths 3.8001, 3.8001, 19.9867 Å; angles 90.00, 90.00, 120.00 degrees
Space group R3m (No. 160, hexagonal axes)
Inequivalent atoms, fractional coordinates:
Y  0.0000  0.0000  0.0000 (multiplicity 3)
Zr  0.0000  0.0000  0.1748 (multiplicity 3)
P  0.0000  0.0000  0.5815 (multiplicity 3)
P  0.0000  0.0000  0.7608 (multiplicity 3)

- magnetic moment (μB/f.u.) = 0.00
- ΔE to the lowest computed polymorph (meV/atom) = 121.6
- E_form (eV/atom) = -1.3646
- N(E_F) (states/eV per cell) = 7.6



# 2
Crystalline Y2Zr2P at its relaxed geometry. Source: the Alexandria database, functional PBE.

Cell lengths 6.961, 6.961, 5.198 Å; angles 90.00, 90.00, 90.00 degrees
Space group P4/mbm (No. 127)
Inequivalent atoms, fractional coordinates:
Y  0.157  0.343  0.000 (multiplicity 4)
Zr  0.155  0.655  0.500 (multiplicity 4)
P  0.000  0.000  0.500 (multiplicity 2)

- magnetic moment (μB/f.u.) = 0.00
- E_form (eV/atom) = -0.2919
- N(E_F) (states/eV per cell) = 13.4



# 3
Crystalline YZr2P3 at its relaxed geometry. Source: the Alexandria database, functional PBE.

Cell lengths 3.814, 5.417, 11.491 Å; angles 90.00, 90.00, 90.00 degrees
Space group Immm (No. 71)
Inequivalent atoms, fractional coordinates:
Y  0.000  0.000  0.000 (multiplicity 2)
Zr  0.000  0.000  0.337 (multiplicity 4)
P  0.000  0.500  0.000 (multiplicity 2)
P  0.000  0.500  0.326 (multiplicity 4)

- magnetic moment (μB/f.u.) = 0.00
- E_form (eV/atom) = -1.4214
- N(E_F) (states/eV per cell) = 4.6